DFT (PBE) results for crystalline Hf3RePt at its relaxed geometry.

For the density of states at the Fermi level, the calculation gives 1.146 states/eV per atom. The value obtained for the energy relative to the lowest polymorph listed for this composition is 232 meV/atom. The calculation puts the magnetic moment at 0.00 μB per cell.

The space group is Pm-3m (No. 221) and the conventional cell measures 4.932, 4.932 and 4.932 Å, with angles of 90.00, 90.00 and 90.00 degrees. Symmetry generates all atoms from Hf at (0.000, 0.000, 0.500), Re at (0.500, 0.500, 0.500) and Pt at (0.000, 0.000, 0.000).